# Ba2ZrTl3Se6 (GGA-PBE, optimized geometry)
data_Ba2ZrTl3Se6
_cell_length_a 7.896
_cell_length_b 7.896
_cell_length_c 7.759
_cell_angle_alpha 100.06
_cell_angle_beta 100.06
_cell_angle_gamma 120.31
_space_group_name_H-M_alt 'P 1'
_space_group_IT_number 1
loop_
_space_group_symop_operation_xyz
'x,y,z'
loop_
_atom_site_label
_atom_site_fract_x
_atom_site_fract_y
_atom_site_fract_z
Ba1 0.167 0.833 0.000
Ba2 0.833 0.167 0.000
Zr1 0.500 0.500 0.000
Tl1 0.000 0.000 0.500
Tl2 0.340 0.660 0.500
Tl3 0.660 0.340 0.500
Se1 0.143 0.423 0.781
Se2 0.290 0.290 0.223
Se3 0.423 0.143 0.781
Se4 0.577 0.857 0.219
Se5 0.710 0.710 0.777
Se6 0.857 0.577 0.219
# - Space-group type: C2/m, No. 12
# - Energy relative to the elements, uncorrected: -1.140 eV/atom

# BaTm4Se6 (GGA-PBE, optimized geometry)
data_BaTm4Se6
_cell_length_a 6.990
_cell_length_b 6.990
_cell_length_c 21.088
_cell_angle_alpha 90.00
_cell_angle_beta 90.00
_cell_angle_gamma 145.69
_space_group_name_H-M_alt 'P 1'
_space_group_IT_number 1
loop_
_space_group_symop_operation_xyz
'x,y,z'
loop_
_atom_site_label
_atom_site_fract_x
_atom_site_fract_y
_atom_site_fract_z
Ba1 0.158 0.842 0.750
Ba2 0.842 0.158 0.250
Tm1 0.096 0.904 0.125
Tm2 0.096 0.904 0.375
Tm3 0.362 0.638 0.038
Tm4 0.362 0.638 0.462
Tm5 0.638 0.362 0.538
Tm6 0.638 0.362 0.962
Tm7 0.904 0.096 0.625
Tm8 0.904 0.096 0.875
Se1 0.000 0.000 0.000
Se2 0.000 0.000 0.500
Se3 0.159 0.841 0.250
Se4 0.267 0.733 0.586
Se5 0.267 0.733 0.914
Se6 0.460 0.540 0.155
Se7 0.460 0.540 0.345
Se8 0.540 0.460 0.655
Se9 0.540 0.460 0.845
Se10 0.733 0.267 0.086
Se11 0.733 0.267 0.414
Se12 0.841 0.159 0.750
# - Space-group type: Cmcm, No. 63
# - Energy relative to the elements, uncorrected: -1.840 eV/atom

# BaTmSe2 (GGA-PBE, optimized geometry)
data_BaTmSe2
_cell_length_a 8.077
_cell_length_b 8.077
_cell_length_c 8.077
_cell_angle_alpha 29.93
_cell_angle_beta 29.93
_cell_angle_gamma 29.93
_space_group_name_H-M_alt 'P 1'
_space_group_IT_number 1
loop_
_space_group_symop_operation_xyz
'x,y,z'
loop_
_atom_site_label
_atom_site_fract_x
_atom_site_fract_y
_atom_site_fract_z
Ba1 0.000 0.000 0.000
Tm1 0.828 0.828 0.828
Se1 0.231 0.231 0.231
Se2 0.428 0.428 0.428
# - Space-group type: R3m, No. 160
# - Energy relative to the elements, uncorrected: -1.791 eV/atom
# - Energy above the lowest structure with this stoichiometry: 0.049 eV per atom

# BaTmSe2 (GGA-PBE, optimized geometry)
data_BaTmSe2
_cell_length_a 7.793
_cell_length_b 7.793
_cell_length_c 7.793
_cell_angle_alpha 31.53
_cell_angle_beta 31.53
_cell_angle_gamma 31.53
_space_group_name_H-M_alt 'P 1'
_space_group_IT_number 1
loop_
_space_group_symop_operation_xyz
'x,y,z'
loop_
_atom_site_label
_atom_site_fract_x
_atom_site_fract_y
_atom_site_fract_z
Ba1 0.000 0.000 0.000
Tm1 0.500 0.500 0.500
Se1 0.236 0.236 0.236
Se2 0.764 0.764 0.764
# - Space-group type: R-3m, No. 166
# - Energy relative to the elements, uncorrected: -1.840 eV/atom
# - Energy above the lowest structure with this stoichiometry: 0.000 eV per atom

# Ba5TmSe6 (GGA-PBE, optimized geometry)
data_Ba5TmSe6
_cell_length_a 7.951
_cell_length_b 7.951
_cell_length_c 7.937
_cell_angle_alpha 99.68
_cell_angle_beta 99.68
_cell_angle_gamma 119.90
_space_group_name_H-M_alt 'P 1'
_space_group_IT_number 1
loop_
_space_group_symop_operation_xyz
'x,y,z'
loop_
_atom_site_label
_atom_site_fract_x
_atom_site_fract_y
_atom_site_fract_z
Ba1 0.000 0.000 0.000
Ba2 0.166 0.834 0.500
Ba3 0.329 0.671 0.000
Ba4 0.671 0.329 0.000
Ba5 0.834 0.166 0.500
Tm1 0.500 0.500 0.500
Se1 0.121 0.424 0.270
Se2 0.277 0.277 0.733
Se3 0.424 0.121 0.270
Se4 0.576 0.879 0.730
Se5 0.723 0.723 0.267
Se6 0.879 0.576 0.730
# - Space-group type: C2/m, No. 12
# - Energy relative to the elements, uncorrected: -1.954 eV/atom

# BaTm2Se (GGA-PBE, optimized geometry)
data_BaTm2Se
_cell_length_a 10.930
_cell_length_b 10.930
_cell_length_c 10.930
_cell_angle_alpha 20.06
_cell_angle_beta 20.06
_cell_angle_gamma 20.06
_space_group_name_H-M_alt 'P 1'
_space_group_IT_number 1
loop_
_space_group_symop_operation_xyz
'x,y,z'
loop_
_atom_site_label
_atom_site_fract_x
_atom_site_fract_y
_atom_site_fract_z
Ba1 0.000 0.000 0.000
Tm1 0.113 0.113 0.113
Tm2 0.887 0.887 0.887
Se1 0.500 0.500 0.500
# - Space-group type: R-3m, No. 166
# - Energy relative to the elements, uncorrected: -0.550 eV/atom

# Ba2TmZrSe6 (GGA-PBE, optimized geometry)
data_Ba2TmZrSe6
_cell_length_a 7.587
_cell_length_b 10.722
_cell_length_c 7.580
_cell_angle_alpha 90.00
_cell_angle_beta 90.00
_cell_angle_gamma 90.00
_space_group_name_H-M_alt 'P 1'
_space_group_IT_number 1
loop_
_space_group_symop_operation_xyz
'x,y,z'
loop_
_atom_site_label
_atom_site_fract_x
_atom_site_fract_y
_atom_site_fract_z
Ba1 0.250 0.001 0.248
Ba2 0.250 0.499 0.248
Ba3 0.750 0.501 0.752
Ba4 0.750 0.999 0.752
Tm1 0.250 0.750 0.749
Tm2 0.750 0.250 0.251
Zr1 0.250 0.250 0.750
Zr2 0.750 0.750 0.250
Se1 0.003 0.250 0.996
Se2 0.004 0.250 0.503
Se3 0.250 0.004 0.752
Se4 0.250 0.496 0.752
Se5 0.496 0.250 0.503
Se6 0.497 0.250 0.996
Se7 0.503 0.750 0.004
Se8 0.504 0.750 0.497
Se9 0.750 0.504 0.248
Se10 0.750 0.996 0.248
Se11 0.996 0.750 0.497
Se12 0.997 0.750 0.004
# - Space-group type: Pmmn, No. 59
# - Energy relative to the elements, uncorrected: -1.593 eV/atom

# Ba3U4Se12 (GGA-PBE, optimized geometry)
data_Ba3U4Se12
_cell_length_a 9.427
_cell_length_b 9.427
_cell_length_c 9.427
_cell_angle_alpha 109.47
_cell_angle_beta 109.47
_cell_angle_gamma 109.47
_space_group_name_H-M_alt 'P 1'
_space_group_IT_number 1
loop_
_space_group_symop_operation_xyz
'x,y,z'
loop_
_atom_site_label
_atom_site_fract_x
_atom_site_fract_y
_atom_site_fract_z
Ba1 0.000 0.500 0.500
Ba2 0.500 0.000 0.500
Ba3 0.500 0.500 0.000
U1 0.000 0.000 0.500
U2 0.000 0.500 0.000
U3 0.500 0.000 0.000
U4 0.500 0.500 0.500
Se1 0.063 0.775 0.287
Se2 0.225 0.287 0.512
Se3 0.225 0.713 0.937
Se4 0.287 0.063 0.775
Se5 0.287 0.512 0.225
Se6 0.488 0.775 0.713
Se7 0.512 0.225 0.287
Se8 0.713 0.488 0.775
Se9 0.713 0.937 0.225
Se10 0.775 0.287 0.063
Se11 0.775 0.713 0.488
Se12 0.937 0.225 0.713
# - Space-group type: Im-3, No. 204
# - Energy relative to the elements, uncorrected: -1.381 eV/atom